[1]
The following is a GGA-PBE calculation of a relaxed LaGaB2O crystal, from Alexandria via LeMat-Bulk.

Structure (POSCAR):
```
LaGaB2O
1.0
-1.2990 3.2933 -1.2631
1.8357 -1.5330 -5.8849
-3.3558 -1.5685 -0.6382
B O Ga La
2 1 1 1
direct
0.0000 0.0000 0.5000
0.5000 0.0000 0.0000
0.5000 0.5000 0.5000
0.0000 0.0000 0.0000
0.0000 0.5000 0.0000
```

Summary:
SG   P4/mmm
Spin magnetization   0.00 μB/cell
Formation energy without anion corrections   0.245 eV per atom

=====

[2]
The following is a GGA-PBE calculation of a relaxed TbPrGa2Cu2 crystal, from Alexandria via LeMat-Bulk.

Structure (POSCAR):
```
TbPrGa2Cu2
1.0
4.3846 0.0000 0.0000
-2.1923 3.7972 0.0000
0.0000 0.0000 7.4557
Tb Pr Ga Cu
1 1 2 2
direct
0.0000 0.0000 0.5000
0.0000 0.0000 0.0000
0.3333 0.6667 0.2687
0.6667 0.3333 0.7313
0.3333 0.6667 0.7220
0.6667 0.3333 0.2780
```

Summary:
Formation energy from the elements   -467 meV per atom
SG   P-3m1
Spin magnetization   0.00 μB/cell